# ScF

An optimized crystal structure of ScF (GGA-PBE, Alexandria).

Calculated values
As for the density of states at the Fermi level: 0.906 states/eV per atom. As for the symmetry: P4/nmm (129). Its excess energy over the best structure of this formula in the dataset is 0 meV/atom. The calculated total energy comes out at -26.3 eV/cell. As for the uncorrected formation energy: -2.47 eV per atom.

abc: 3.495 3.495 5.195
angles: 90.00 90.00 90.00
Element x y z (fractional)
Sc1 0.250 0.250 0.229
Sc2 0.750 0.750 0.771
F1 0.250 0.750 0.500
F2 0.750 0.250 0.500